# As2RuAu

Crystalline As2RuAu at its relaxed geometry (PBE-GGA, the Alexandria database).

a = 3.1866 Å, b = 3.9327 Å, c = 5.4768 Å
α = 90.00°, β = 90.00°, γ = 90.00°
Space group Pmm2 (No. 25)
One atom of each set of equivalent atoms:
As1 0.0000 0.0000 0.0000 x1
As2 0.5000 0.5000 0.3685 x1
Ru1 0.5000 0.5000 0.8508 x1
Au1 0.0000 0.0000 0.5300 x1

Calculated values
crystal system: orthorhombic


# AsRuAu2

Crystalline AsRuAu2 at its relaxed geometry (PBE-GGA, the Alexandria database).

a = 7.8535 Å, b = 3.1726 Å, c = 5.8414 Å
α = 90.00°, β = 99.95°, γ = 90.00°
Space group Cm (No. 8)
One atom of each set of equivalent atoms:
As1 0.0000 0.0000 0.0000 x2
Ru1 0.2266 0.5000 0.1405 x2
Au1 0.2203 0.0000 0.7050 x2
Au2 0.4714 0.0000 0.4290 x2

Calculated values
crystal system: monoclinic


# AsRuAu2

Crystalline AsRuAu2 at its relaxed geometry (PBE-GGA, the Alexandria database).

a = 3.1518 Å, b = 4.5631 Å, c = 9.6918 Å
α = 90.00°, β = 90.00°, γ = 90.00°
Space group Imm2 (No. 44)
One atom of each set of equivalent atoms:
As1 0.0000 0.0000 0.0000 x2
Ru1 0.0000 0.5000 0.3129 x2
Au1 0.0000 0.0000 0.5528 x2
Au2 0.0000 0.5000 0.7671 x2

Calculated values
crystal system: orthorhombic


# AsRuAu2

Crystalline AsRuAu2 at its relaxed geometry (PBE-GGA, the Alexandria database).

a = 3.8710 Å, b = 3.8710 Å, c = 9.1789 Å
α = 90.00°, β = 90.00°, γ = 90.00°
Space group I4/mmm (No. 139)
One atom of each set of equivalent atoms:
As1 0.0000 0.0000 0.0000 x2
Ru1 0.0000 0.0000 0.5000 x2
Au1 0.0000 0.5000 0.2500 x4

Calculated values
crystal system: tetragonal


Quick rundown of VASP energy, same order as above: -5.2941 -4.9232 -4.8692 -4.7182 eV/atom